Entry 1
BaSr2N2 | PBE | optimized geometry

Cell and atoms, written as POSCAR:
```
BaSr2N2
1.0
-1.978 1.978 7.936
1.978 -1.978 7.936
1.978 1.978 -7.936
Ba Sr N
1 2 2
direct
0.000 0.000 0.000
0.322 0.322 0.000
0.678 0.678 0.000
0.161 0.161 0.000
0.839 0.839 0.000
```

Results
V: 24.85 Å³/atom
Density of states at the Fermi level: 2.05 states/eV/f.u.
Crystal system: tetragonal
Mass density: 4.55 g/cm³



Entry 2
BaSr2N2 | PBE | optimized geometry

Cell and atoms, written as POSCAR:
```
BaSr2N2
1.0
-2.441 2.441 5.295
2.441 -2.441 5.295
2.441 2.441 -5.295
Ba Sr N
1 2 2
direct
0.000 0.000 0.000
0.319 0.319 0.000
0.681 0.681 0.000
0.250 0.750 0.500
0.750 0.250 0.500
```

Results
V: 25.23 Å³/atom
Density of states at the Fermi level: 2.22 states/eV/f.u.
Crystal system: tetragonal
Mass density: 4.48 g/cm³



Entry 3
BaSr2N2 | PBE | optimized geometry

Cell and atoms, written as POSCAR:
```
BaSr2N2
1.0
4.044 0.000 0.000
0.000 15.368 0.000
0.000 0.000 3.825
Ba Sr N
2 4 4
direct
0.250 0.250 0.024
0.750 0.750 0.976
0.250 0.570 0.262
0.250 0.930 0.262
0.750 0.070 0.738
0.750 0.430 0.738
0.250 0.098 0.319
0.250 0.402 0.319
0.750 0.598 0.681
0.750 0.902 0.681
```

Results
V: 23.78 Å³/atom
Density of states at the Fermi level: 3.98 states/eV/f.u.
Crystal system: orthorhombic
Mass density: 4.76 g/cm³



Entry 4
BaSr2N2 | PBE | optimized geometry

Cell and atoms, written as POSCAR:
```
BaSr2N2
1.0
7.689 0.000 0.000
0.000 7.689 0.000
0.000 0.000 3.370
Ba Sr N
2 4 4
direct
0.000 0.000 0.000
0.500 0.500 0.000
0.130 0.370 0.000
0.370 0.870 0.000
0.630 0.130 0.000
0.870 0.630 0.000
0.177 0.677 0.500
0.323 0.177 0.500
0.677 0.823 0.500
0.823 0.323 0.500
```

Results
V: 19.92 Å³/atom
Density of states at the Fermi level: 0.01 states/eV/f.u.
Crystal system: tetragonal
Mass density: 5.68 g/cm³



entry 3 comes first in stability; the runner-up is 41 meV per atom higher.



Entry 1
Ba3SrN | PBE | optimized geometry

Cell and atoms, written as POSCAR:
```
Ba3SrN
1.0
5.941 0.000 0.000
0.000 5.941 0.000
0.000 0.000 5.941
Ba Sr N
3 1 1
direct
0.000 0.000 0.500
0.000 0.500 0.000
0.500 0.000 0.000
0.500 0.500 0.500
0.000 0.000 0.000
```

Results
V: 41.93 Å³/atom
Density of states at the Fermi level: 6.11 states/eV/f.u.
Crystal system: cubic
Mass density: 4.07 g/cm³



Entry 2
Ba3SrN | PBE | optimized geometry

Cell and atoms, written as POSCAR:
```
Ba3SrN
1.0
7.392 0.000 0.000
0.000 9.184 0.000
-0.129 0.000 8.156
Ba Sr N
6 2 2
direct
0.241 0.250 0.386
0.247 0.026 0.817
0.247 0.474 0.817
0.753 0.526 0.183
0.753 0.974 0.183
0.759 0.750 0.614
0.318 0.750 0.323
0.682 0.250 0.677
0.358 0.250 0.676
0.642 0.750 0.324
```

Results
V: 55.37 Å³/atom
Density of states at the Fermi level: 4.85 states/eV/f.u.
Crystal system: monoclinic
Mass density: 3.08 g/cm³



entry 2 comes first in stability; the runner-up is 196 meV per atom higher.



Entry 1
Ba3SrN | PBE | optimized geometry

Cell and atoms, written as POSCAR:
```
Ba3SrN
1.0
6.876 0.000 0.000
0.000 8.022 0.000
-0.019 0.000 8.593
Ba Sr N
6 2 2
direct
0.001 0.000 0.287
0.001 0.500 0.287
0.447 0.250 0.504
0.553 0.750 0.496
0.999 0.000 0.713
0.999 0.500 0.713
0.497 0.750 0.996
0.503 0.250 0.004
0.078 0.250 0.501
0.922 0.750 0.499
```

Results
V: 47.39 Å³/atom
Density of states at the Fermi level: 4.65 states/eV/f.u.
Crystal system: monoclinic
Mass density: 3.60 g/cm³



Entry 2
Ba3SrN | PBE | optimized geometry

Cell and atoms, written as POSCAR:
```
Ba3SrN
1.0
6.596 0.000 0.000
0.000 6.596 0.000
0.000 0.000 6.596
Ba Sr N
3 1 1
direct
0.000 0.000 0.500
0.000 0.500 0.000
0.500 0.000 0.000
0.000 0.000 0.000
0.500 0.500 0.500
```

Results
V: 57.40 Å³/atom
Density of states at the Fermi level: 11.20 states/eV/f.u.
Crystal system: cubic
Mass density: 2.97 g/cm³



entry 1 comes first in stability; the runner-up is 1903 meV per atom higher.



Entry 1
Ba2SrN2 | PBE | optimized geometry

Cell and atoms, written as POSCAR:
```
Ba2SrN2
1.0
3.928 0.000 0.000
-1.964 3.402 0.000
0.000 0.000 10.562
Ba Sr N
2 1 2
direct
0.333 0.667 0.285
0.667 0.333 0.715
0.000 0.000 0.000
0.333 0.667 0.839
0.667 0.333 0.161
```

Results
V: 28.22 Å³/atom
Density of states at the Fermi level: 7.63 states/eV/f.u.
Crystal system: trigonal
Mass density: 4.59 g/cm³



Entry 2
Ba2SrN2 | PBE | optimized geometry

Cell and atoms, written as POSCAR:
```
Ba2SrN2
1.0
6.051 0.000 0.000
0.000 11.910 0.000
0.000 0.000 3.810
Ba Sr N
4 2 4
direct
0.250 0.061 0.249
0.250 0.439 0.249
0.750 0.561 0.751
0.750 0.939 0.751
0.250 0.750 0.249
0.750 0.250 0.751
0.250 0.590 0.749
0.250 0.910 0.749
0.750 0.090 0.251
0.750 0.410 0.251
```

Results
V: 27.46 Å³/atom
Density of states at the Fermi level: 3.49 states/eV/f.u.
Crystal system: orthorhombic
Mass density: 4.72 g/cm³



entry 1 comes first in stability; the runner-up is 81 meV per atom higher.